The following is a PBE-GGA calculation of CeErTm2In4 after structural relaxation, from Alexandria.

Computed properties:
DFT total energy, eV per atom: -4.21
Magnetization, μB/f.u.: 0.93
Crystal system: trigonal
DOS at the Fermi energy, states/eV/cell: 9.07

Unit cell a=5.3068 b=5.3068 c=9.2556 alpha=73.34 beta=73.34 gamma=60.00
With the nearest neighbours (Å) after each atom.
Positions (direct):
1 In 0.8769 0.8769 0.3694  1 Er 3.23, 4 Tm 3.24-3.34, 3 Ce 3.27
2 In 0.6266 0.6266 0.1202  4 Tm 3.22-3.26, 3 Er 3.24, 1 Ce 3.32
3 In 0.3734 0.3734 0.8798  4 Tm 3.22-3.26, 3 Er 3.24, 1 Ce 3.32
4 In 0.1231 0.1231 0.6306  1 Er 3.23, 4 Tm 3.24-3.34, 3 Ce 3.27
5 Tm 0.2505 0.2505 0.2484  8 In 3.22-3.34
6 Tm 0.7495 0.7495 0.7516  8 In 3.22-3.34
7 Er 0.0000 0.0000 0.0000  8 In 3.23-3.24
8 Ce 0.5000 0.5000 0.5000  8 In 3.27-3.32